Arrangement i

VASP calculation (PBEsol) on CaHgRu after structural relaxation.

Density of states at the Fermi level in states/eV/atom: 1.538
Magnetic moment in Bohr magnetons per cell: 0.534

Unit cell a=6.5284 b=6.5284 c=6.5284 alpha=90.00 beta=90.00 gamma=90.00
Last column: nearest neighbours and their distance in Å.
Space group F-43m (No. 216)
Asymmetric unit:
Ca: 0.0000 0.0000 0.0000 [4 per cell]  4 Hg 2.83
Hg: 0.2500 0.2500 0.7500 [4 per cell]  4 Ru 2.83, 4 Ca 2.83
Ru: 0.0000 0.0000 0.5000 [4 per cell]  4 Hg 2.83

Arrangement ii

VASP calculation (PBEsol) on CaHgRu after structural relaxation.

Density of states at the Fermi level in states/eV/atom: 1.276
Magnetic moment in Bohr magnetons per cell: 0.458

Unit cell a=3.1468 b=3.1468 c=6.9637 alpha=90.00 beta=90.00 gamma=120.00
Last column: nearest neighbours and their distance in Å.
Space group P3m1 (No. 156)
Asymmetric unit:
Ca: 0.0000 0.0000 0.0000 [1 per cell]  3 Ru 2.84, 6 Ca 3.15, 3 Hg 3.16
Hg: 0.3333 0.6667 0.6280 [1 per cell]  3 Ru 2.84, 6 Hg 3.15, 3 Ca 3.16
Ru: 0.6667 0.3333 0.3139 [1 per cell]  3 Ca 2.84, 3 Hg 2.84, 6 Ru 3.15

Arrangement iii

VASP calculation (PBEsol) on CaHgRu after structural relaxation.

Density of states at the Fermi level in states/eV/atom: 1.170
Magnetic moment in Bohr magnetons per cell: 0.543

Unit cell a=4.6427 b=4.6427 c=3.3085 alpha=90.00 beta=90.00 gamma=120.00
Last column: nearest neighbours and their distance in Å.
Space group P-6m2 (No. 187)
Asymmetric unit:
Ca: 0.0000 0.0000 0.0000 [1 per cell]  6 Hg 3.15, 6 Ru 3.15, 2 Ca 3.31
Hg: 0.6667 0.3333 0.5000 [1 per cell]  3 Ru 2.68
Ru: 0.3333 0.6667 0.5000 [1 per cell]  3 Hg 2.68

Relative energies with respect to the most stable structure, expressed in eV/atom: arrangement i 0.347; arrangement ii 0.215; arrangement iii 0.000.

Arrangement i

VASP calculation (PBEsol) on SrCaHg2 after structural relaxation.

Density of states at the Fermi level in states/eV/atom: 0.643
Magnetic moment in Bohr magnetons per cell: 0.001

Unit cell a=7.6311 b=7.6311 c=7.6311 alpha=90.00 beta=90.00 gamma=90.00
Last column: nearest neighbours and their distance in Å.
Space group Fm-3m (No. 225)
Asymmetric unit:
Sr: 0.0000 0.0000 0.0000 [4 per cell]  8 Hg 3.30
Ca: 0.0000 0.0000 0.5000 [4 per cell]  8 Hg 3.30
Hg: 0.2500 0.2500 0.2500 [8 per cell]  4 Sr 3.30, 4 Ca 3.30

Arrangement ii

VASP calculation (PBEsol) on SrCaHg2 after structural relaxation.

Density of states at the Fermi level in states/eV/atom: 0.623
Magnetic moment in Bohr magnetons per cell: 0.000

Unit cell a=3.8144 b=3.8144 c=7.6284 alpha=90.00 beta=90.00 gamma=90.00
Last column: nearest neighbours and their distance in Å.
Space group P4/mmm (No. 123)
Asymmetric unit:
Sr: 0.0000 0.0000 0.0000 [1 per cell]  8 Hg 3.38
Ca: 0.0000 0.0000 0.5000 [1 per cell]  8 Hg 3.23
Hg: 0.5000 0.5000 0.2679 [2 per cell]  4 Ca 3.23, 4 Sr 3.38, 1 Hg 3.54

Relative energies with respect to the most stable structure, expressed in eV/atom: arrangement i 0.006; arrangement ii 0.000.

Arrangement i

VASP calculation (PBEsol) on SrCa2Hg2 after structural relaxation.

Density of states at the Fermi level in states/eV/atom: 0.841
Magnetic moment in Bohr magnetons per cell: 0.000

Unit cell a=4.9208 b=4.9208 c=13.3603 alpha=90.00 beta=90.00 gamma=90.00
Last column: nearest neighbours and their distance in Å.
Space group I4/mmm (No. 139)
Asymmetric unit:
Sr: 0.0000 0.0000 0.0000 [2 per cell]  8 Hg 3.75, 8 Ca 4.15
Ca: 0.0000 0.5000 0.2500 [4 per cell]  4 Hg 3.13, 4 Ca 3.48
Hg: 0.0000 0.0000 0.3944 [4 per cell]  1 Hg 2.82, 4 Ca 3.13

Arrangement ii

VASP calculation (PBEsol) on SrCa2Hg2 after structural relaxation.

Density of states at the Fermi level in states/eV/atom: 0.708
Magnetic moment in Bohr magnetons per cell: 0.000

Unit cell a=8.9154 b=8.9154 c=3.5848 alpha=90.00 beta=90.00 gamma=90.00
Last column: nearest neighbours and their distance in Å.
Space group P4/mbm (No. 127)
Asymmetric unit:
Sr: 0.0000 0.0000 0.0000 [2 per cell]  4 Ca 3.48, 2 Sr 3.58, 8 Hg 3.79
Ca: 0.1322 0.3678 0.0000 [4 per cell]  6 Hg 3.13-3.20, 1 Ca 3.33, 2 Sr 3.48
Hg: 0.1639 0.6639 0.5000 [4 per cell]  6 Ca 3.13-3.20

Relative energies with respect to the most stable structure, expressed in eV/atom: arrangement i 0.037; arrangement ii 0.000.

Arrangement i

VASP calculation (PBEsol) on CaHgTe after structural relaxation.

Magnetic moment in Bohr magnetons per cell: 0.000

Unit cell a=4.5191 b=4.5191 c=5.0856 alpha=90.00 beta=90.00 gamma=120.00
Last column: nearest neighbours and their distance in Å.
Space group P3m1 (No. 156)
Asymmetric unit:
Ca: 0.0000 0.0000 0.0000 [1 per cell]  3 Te 3.11, 3 Hg 3.13
Hg: 0.3333 0.6667 0.6608 [1 per cell]  3 Te 3.10, 3 Ca 3.13
Te: 0.6667 0.3333 0.3315 [1 per cell]  3 Hg 3.10, 3 Ca 3.11

Arrangement ii

VASP calculation (PBEsol) on CaHgTe after structural relaxation.

Density of states at the Fermi level in states/eV/atom: 0.105
Magnetic moment in Bohr magnetons per cell: 0.000

Unit cell a=4.1580 b=4.1580 c=9.6674 alpha=90.00 beta=90.00 gamma=90.00
Last column: nearest neighbours and their distance in Å.
Space group I4mm (No. 107)
Asymmetric unit:
Ca: 0.0000 0.0000 0.0000 [2 per cell]  5 Hg 3.11-3.41, 5 Te 3.29-3.35
Hg: 0.0000 0.0000 0.6781 [2 per cell]  5 Ca 3.11-3.41, 5 Te 3.21-3.36
Te: 0.0000 0.0000 0.3464 [2 per cell]  5 Hg 3.21-3.36, 5 Ca 3.29-3.35

Relative energies with respect to the most stable structure, expressed in eV/atom: arrangement i 0.000; arrangement ii 0.037.

Arrangement i

VASP calculation (PBEsol) on CaHg2W after structural relaxation.

Density of states at the Fermi level in states/eV/atom: 0.710
Magnetic moment in Bohr magnetons per cell: 13.760

Unit cell a=6.9778 b=6.9778 c=6.9778 alpha=90.00 beta=90.00 gamma=90.00
Last column: nearest neighbours and their distance in Å.
Space group F-43m (No. 216)
Asymmetric unit:
Ca: 0.0000 0.0000 0.0000 [4 per cell]  4 Hg 3.02, 4 W 3.02
Hg: 0.0000 0.0000 0.5000 [4 per cell]  4 W 3.02, 4 Hg 3.02
Hg: 0.2500 0.2500 0.7500 [4 per cell]  4 Hg 3.02, 4 Ca 3.02
W: 0.2500 0.2500 0.2500 [4 per cell]  4 Ca 3.02, 4 Hg 3.02

Arrangement ii

VASP calculation (PBEsol) on CaHg2W after structural relaxation.

Density of states at the Fermi level in states/eV/atom: 0.747
Magnetic moment in Bohr magnetons per cell: 0.001

Unit cell a=3.0794 b=5.0952 c=10.3874 alpha=90.00 beta=90.00 gamma=90.00
Last column: nearest neighbours and their distance in Å.
Space group Imm2 (No. 44)
Asymmetric unit:
Ca: 0.0000 0.0000 0.0000 [2 per cell]  6 Hg 2.98-3.12, 2 Ca 3.08, 2 W 3.11
Hg: 0.0000 0.0000 0.5100 [2 per cell]  2 W 2.84, 4 Ca 2.98, 4 Hg 3.00-3.08
Hg: 0.0000 0.5000 0.7617 [2 per cell]  4 W 2.99, 4 Hg 3.00-3.08, 2 Ca 3.12
W: 0.0000 0.5000 0.2396 [2 per cell]  6 Hg 2.84-2.99, 2 W 3.08, 2 Ca 3.11

Relative energies with respect to the most stable structure, expressed in eV/atom: arrangement i 0.320; arrangement ii 0.000.

Arrangement i

VASP calculation (PBEsol) on CaY2Hg2 after structural relaxation.

Density of states at the Fermi level in states/eV/atom: 0.920
Magnetic moment in Bohr magnetons per cell: 0.000

Unit cell a=8.4273 b=8.4273 c=3.7780 alpha=90.00 beta=90.00 gamma=90.00
Last column: nearest neighbours and their distance in Å.
Space group P4/mbm (No. 127)
Asymmetric unit:
Ca: 0.0000 0.0000 0.0000 [2 per cell]  4 Hg 3.28
Y: 0.1624 0.3376 0.5000 [4 per cell]  6 Hg 3.07-3.14
Hg: 0.1344 0.6344 0.0000 [4 per cell]  6 Y 3.07-3.14, 1 Hg 3.20, 2 Ca 3.28

Arrangement ii

VASP calculation (PBEsol) on CaY2Hg2 after structural relaxation.

Density of states at the Fermi level in states/eV/atom: 1.059
Magnetic moment in Bohr magnetons per cell: 0.001

Unit cell a=4.5995 b=4.5995 c=13.5825 alpha=90.00 beta=90.00 gamma=90.00
Last column: nearest neighbours and their distance in Å.
Space group I4/mmm (No. 139)
Asymmetric unit:
Ca: 0.0000 0.0000 0.0000 [2 per cell]  8 Hg 3.53
Y: 0.0000 0.5000 0.2500 [4 per cell]  4 Hg 3.06, 4 Y 3.25
Hg: 0.0000 0.0000 0.3987 [4 per cell]  1 Hg 2.75, 4 Y 3.06

Relative energies with respect to the most stable structure, expressed in eV/atom: arrangement i 0.000; arrangement ii 0.201.